Record 1
An optimized crystal structure of Mg2ScMo, computed with PBE.

Summary:
formation energy from the elements: 1.40 eV/f.u.

Geometry as extended XYZ:
```
4
Lattice="3.6032 0.0000 0.0000 0.0000 3.6032 0.0000 0.0000 0.0000 6.0798" Properties=species:S:1:pos:R:3 pbc="T T T"
Mg 0.0000 0.0000 1.3768
Mg 0.0000 0.0000 4.7030
Sc 1.8016 1.8016 3.0399
Mo 1.8016 1.8016 0.0000
```



Record 2
An optimized crystal structure of MgSc2Mo, computed with PBE.

Summary:
formation energy from the elements: 0.63 eV/f.u.

Geometry as extended XYZ:
```
8
Lattice="4.2413 0.0000 0.0000 0.0000 4.2413 0.0000 0.0000 0.0000 8.8859" Properties=species:S:1:pos:R:3 pbc="T T T"
Mg 0.0000 0.0000 0.0000
Mg 2.1206 2.1206 4.4430
Sc 0.0000 0.0000 4.4430
Sc 0.0000 2.1206 6.6644
Sc 2.1206 0.0000 2.2215
Sc 2.1206 2.1206 0.0000
Mo 0.0000 2.1206 2.2215
Mo 2.1206 0.0000 6.6644
```



Record 3
An optimized crystal structure of Mg2ScMo, computed with PBE.

Summary:
formation energy from the elements: 0.54 eV/f.u.

Geometry as extended XYZ:
```
8
Lattice="3.6422 0.0000 0.0000 0.0000 4.5803 0.0000 0.0000 0.0000 9.5871" Properties=species:S:1:pos:R:3 pbc="T T T"
Mg 0.0000 0.0000 0.0000
Mg 0.0000 2.2901 2.5568
Mg 1.8211 0.0000 2.5568
Mg 1.8211 2.2901 0.0000
Sc 0.0000 2.2901 6.9409
Sc 1.8211 0.0000 6.9409
Mo 0.0000 0.0000 4.7919
Mo 1.8211 2.2901 4.7919
```



Record 4
An optimized crystal structure of Mg2ScMo, computed with PBE.

Summary:
formation energy from the elements: 1.08 eV/f.u.

Geometry as extended XYZ:
```
4
Lattice="3.2748 0.0000 0.0000 0.0000 4.6511 0.0000 0.0000 0.0000 5.1100" Properties=species:S:1:pos:R:3 pbc="T T T"
Mg 0.0000 0.0000 0.0000
Mg 1.6374 2.3255 0.0000
Sc 0.0000 2.3255 2.5550
Mo 1.6374 0.0000 2.5550
```



Record 5
An optimized crystal structure of MgSc2MoSe, computed with PBE.

Summary:
formation energy from raw total energies: 0.011 eV/atom

Geometry as extended XYZ:
```
5
Lattice="5.0229 0.0000 0.0000 0.0000 5.0229 0.0000 0.0000 0.0000 4.6400" Properties=species:S:1:pos:R:3 pbc="T T T"
Mg 0.0000 0.0000 0.0000
Sc 0.0000 2.5115 2.3200
Sc 2.5115 0.0000 2.3200
Mo 2.5115 2.5115 0.0000
Se 2.5115 2.5115 2.3200
```



Record 6
An optimized crystal structure of MgSc2TiMo, computed with PBE.

Summary:
formation energy from the elements: 7.43 eV/f.u.

Geometry as extended XYZ:
```
5
Lattice="4.9068 0.0000 0.0000 0.0000 4.9068 0.0000 0.0000 0.0000 4.7837" Properties=species:S:1:pos:R:3 pbc="T T T"
Mg 0.0000 0.0000 0.0000
Sc 0.0000 2.4534 0.0000
Sc 2.4534 0.0000 0.0000
Ti 0.0000 0.0000 2.3919
Mo 2.4534 2.4534 2.3919
```



Record 7
An optimized crystal structure of TmMgScMo, computed with PBE.

Summary:
formation energy from the elements: 0.70 eV/f.u.

Geometry as extended XYZ:
```
16
Lattice="6.9732 0.0000 0.0000 0.0000 6.9732 0.0000 0.0000 0.0000 6.9732" Properties=species:S:1:pos:R:3 pbc="T T T"
Tm 0.0000 0.0000 0.0000
Tm 0.0000 3.4866 3.4866
Tm 3.4866 0.0000 3.4866
Tm 3.4866 3.4866 0.0000
Mg 1.7433 1.7433 5.2299
Mg 1.7433 5.2299 1.7433
Mg 5.2299 1.7433 1.7433
Mg 5.2299 5.2299 5.2299
Sc 0.0000 0.0000 3.4866
Sc 0.0000 3.4866 0.0000
Sc 3.4866 0.0000 0.0000
Sc 3.4866 3.4866 3.4866
Mo 1.7433 1.7433 1.7433
Mo 1.7433 5.2299 5.2299
Mo 5.2299 1.7433 5.2299
Mo 5.2299 5.2299 1.7433
```



Record 8
An optimized crystal structure of Mg2ScMoW, computed with PBE.

Summary:
formation energy from the elements: 10.15 eV/f.u.

Geometry as extended XYZ:
```
5
Lattice="4.8540 0.0000 0.0000 0.0000 4.8540 0.0000 0.0000 0.0000 4.5865" Properties=species:S:1:pos:R:3 pbc="T T T"
Mg 0.0000 2.4270 0.0000
Mg 2.4270 0.0000 0.0000
Sc 0.0000 0.0000 0.0000
Mo 2.4270 2.4270 2.2933
W 0.0000 0.0000 2.2933
```



Record 9
An optimized crystal structure of YMg2ScMo, computed with PBE.

Summary:
formation energy from the elements: 8.84 eV/f.u.

Geometry as extended XYZ:
```
5
Lattice="5.4344 0.0000 0.0000 0.0000 5.4344 0.0000 0.0000 0.0000 5.0896" Properties=species:S:1:pos:R:3 pbc="T T T"
Y 0.0000 0.0000 0.0000
Mg 0.0000 2.7172 0.0000
Mg 2.7172 0.0000 0.0000
Sc 0.0000 0.0000 2.5448
Mo 2.7172 2.7172 2.5448
```



Record 10
An optimized crystal structure of MgMoSe, computed with PBE.

Summary:
formation energy from raw total energies: -0.136 eV/atom

Geometry as extended XYZ:
```
6
Lattice="3.2406 0.0000 0.0000 0.0000 3.2406 0.0000 0.0000 0.0000 10.3302" Properties=species:S:1:pos:R:3 pbc="T T T"
Mg 0.0000 0.0000 0.0000
Mg 1.6203 1.6203 5.1651
Mo 0.0000 0.0000 7.0826
Mo 1.6203 1.6203 1.9175
Se 0.0000 0.0000 3.0781
Se 1.6203 1.6203 8.2433
```



Record 11
An optimized crystal structure of Mg2MoSe, computed with PBE.

Summary:
formation energy from raw total energies: 0.153 eV/atom

Geometry as extended XYZ:
```
8
Lattice="5.3798 0.0000 0.0000 0.0000 8.6691 0.0000 -0.0141 0.0000 3.1137" Properties=species:S:1:pos:R:3 pbc="T T T"
Mg 1.3449 2.1673 0.0000
Mg 1.3449 6.5018 0.0000
Mg 4.0348 2.1673 0.0000
Mg 4.0348 6.5018 0.0000
Mo -0.0071 0.0000 1.5568
Mo 2.6828 4.3345 1.5568
Se -0.0071 4.3345 1.5568
Se 2.6828 0.0000 1.5568
```



Record 12
An optimized crystal structure of MgMoSe2, computed with PBE.

Summary:
formation energy from raw total energies: -0.141 eV/atom

Geometry as extended XYZ:
```
12
Lattice="3.1559 0.0000 0.0000 -1.5779 2.7331 0.0000 0.0000 0.0000 31.1252" Properties=species:S:1:pos:R:3 pbc="T T T"
Mg 0.0000 0.0000 0.0000
Mg 0.0000 1.8220 20.7502
Mg 1.5779 0.9110 10.3751
Mo 0.0000 0.0000 7.9858
Mo 0.0000 1.8220 28.7360
Mo 1.5779 0.9110 18.3609
Se 0.0000 0.0000 16.6384
Se 0.0000 0.0000 22.8075
Se 0.0000 1.8220 6.2634
Se 0.0000 1.8220 12.4324
Se 1.5779 0.9110 2.0573
Se 1.5779 0.9110 27.0135
```



Record 13
An optimized crystal structure of MgMoSe2, computed with PBE.

Summary:
formation energy from raw total energies: -0.333 eV/atom

Geometry as extended XYZ:
```
8
Lattice="6.6270 0.0000 0.0000 0.0000 3.5691 0.0000 -2.0234 0.0000 6.6154" Properties=species:S:1:pos:R:3 pbc="T T T"
Mg 0.0000 0.0000 0.0000
Mg 3.3135 1.7846 0.0000
Mo -1.0117 1.7846 3.3077
Mo 2.3018 0.0000 3.3077
Se 0.1599 0.0000 4.8843
Se 1.1302 1.7846 1.7311
Se 4.4437 0.0000 1.7311
Se 3.4734 1.7846 4.8843
```



Record 14
An optimized crystal structure of Mg2MoSe, computed with PBE.

Summary:
formation energy from raw total energies: 0.179 eV/atom

Geometry as extended XYZ:
```
8
Lattice="3.9915 0.0000 0.0000 0.0000 3.9915 0.0000 0.0000 0.0000 8.9695" Properties=species:S:1:pos:R:3 pbc="T T T"
Mg 0.0000 0.0000 0.0000
Mg 0.0000 1.9958 2.2424
Mg 1.9958 0.0000 6.7271
Mg 1.9958 1.9958 4.4847
Mo 0.0000 1.9958 6.7271
Mo 1.9958 0.0000 2.2424
Se 0.0000 0.0000 4.4847
Se 1.9958 1.9958 0.0000
```



Record 15
An optimized crystal structure of Mg4MoSe, computed with PBE.

Summary:
formation energy from raw total energies: 0.493 eV/atom

Geometry as extended XYZ:
```
6
Lattice="0.0000 3.9349 3.9349 3.9349 0.0000 3.9349 3.9349 3.9349 0.0000" Properties=species:S:1:pos:R:3 pbc="T T T"
Mg 0.9773 0.9773 0.9773
Mg 2.9576 2.9576 0.9773
Mg 2.9576 0.9773 2.9576
Mg 0.9773 2.9576 2.9576
Mo 5.9023 5.9023 5.9023
Se 3.9349 3.9349 3.9349
```



Record 16
An optimized crystal structure of Mg2MoSe, computed with PBE.

Summary:
formation energy from raw total energies: 0.247 eV/atom

Geometry as extended XYZ:
```
4
Lattice="3.1608 0.0000 0.0000 0.0000 4.7944 0.0000 -0.3227 0.0000 5.0350" Properties=species:S:1:pos:R:3 pbc="T T T"
Mg 0.5622 0.0000 1.2123
Mg 2.2759 0.0000 3.8226
Mo 1.5804 2.3972 0.0000
Se 1.4190 2.3972 2.5175
```



Record 17
An optimized crystal structure of Mg2MoSe, computed with PBE.

Summary:
formation energy from raw total energies: 0.096 eV/atom

Geometry as extended XYZ:
```
4
Lattice="3.4916 0.0000 0.0000 0.0000 3.4916 0.0000 0.0000 0.0000 5.9691" Properties=species:S:1:pos:R:3 pbc="T T T"
Mg 0.0000 0.0000 1.4646
Mg 0.0000 0.0000 4.5045
Mo 1.7458 1.7458 0.0000
Se 1.7458 1.7458 2.9846
```



Record 18
An optimized crystal structure of MgMoSe3, computed with PBE.

Summary:
formation energy from raw total energies: 0.012 eV/atom

Geometry as extended XYZ:
```
5
Lattice="4.9740 0.0000 0.0000 0.0000 4.9740 0.0000 0.0000 0.0000 4.9740" Properties=species:S:1:pos:R:3 pbc="T T T"
Mg 0.0000 0.0000 0.0000
Mo 2.4870 2.4870 2.4870
Se 0.0000 2.4870 2.4870
Se 2.4870 0.0000 2.4870
Se 2.4870 2.4870 0.0000
```



Record 19
An optimized crystal structure of Mg2MoSe, computed with PBE.

Summary:
formation energy from raw total energies: 0.121 eV/atom

Geometry as extended XYZ:
```
12
Lattice="3.1699 0.0000 0.0000 -1.5850 2.7452 0.0000 0.0000 0.0000 25.7697" Properties=species:S:1:pos:R:3 pbc="T T T"
Mg 0.0000 0.0000 6.3355
Mg 0.0000 0.0000 19.4342
Mg 0.0000 1.8302 10.8443
Mg 0.0000 1.8302 23.5154
Mg 1.5850 0.9151 2.2544
Mg 1.5850 0.9151 14.9255
Mo 0.0000 0.0000 0.0000
Mo 0.0000 1.8302 17.1798
Mo 1.5850 0.9151 8.5899
Se 0.0000 0.0000 12.8849
Se 0.0000 1.8302 4.2950
Se 1.5850 0.9151 21.4748
```



Record 20
An optimized crystal structure of MgMo3Se4, computed with PBE.

Summary:
formation energy from raw total energies: -0.664 eV/atom

Geometry as extended XYZ:
```
32
Lattice="9.2402 0.0000 0.0000 3.8868 8.4775 0.0000 3.8030 2.4383 8.6209" Properties=species:S:1:pos:R:3 pbc="T T T"
Mg 4.2055 2.7498 2.1466
Mg 6.1481 3.9321 6.4565
Mg 10.7819 6.9836 2.1644
Mg 12.7244 8.1659 6.4742
Mo 4.5654 7.7604 1.6160
Mo 6.1722 8.0479 3.7353
Mo 5.2453 5.5991 3.0751
Mo 7.1036 8.3374 1.2352
Mo 6.1777 5.8872 0.5753
Mo 7.7843 6.1750 2.6949
Mo 9.1457 4.7407 5.9259
Mo 10.7523 5.0286 8.0456
Mo 9.8264 2.5783 7.3857
Mo 11.6847 5.3166 5.5458
Mo 10.7577 2.8679 4.8855
Mo 12.3646 3.1553 7.0049
Se 1.5912 1.6546 2.3050
Se 3.6559 5.3381 1.0050
Se 4.0949 3.5211 4.5965
Se 9.2919 10.3622 7.8004
Se 6.8604 6.0089 5.1319
Se 8.1760 4.3730 8.3345
Se 8.6897 8.6039 3.3028
Se 6.8675 3.8042 2.0067
Se 10.0625 7.1115 6.6142
Se 8.2402 2.3119 5.3181
Se 8.7539 6.5428 0.2864
Se 10.0696 4.9068 3.4889
Se 7.6380 0.5536 0.8204
Se 12.8351 7.3947 4.0243
Se 13.2740 5.5777 7.6159
Se 15.3388 9.2611 6.3158
```



The M_tot results, record by record, are as follows: 1.10 0.00 0.00 0.00 0.00 1.00 0.00 0.05 3.85 0.01 0.00 0.77 1.64 0.16 1.95 0.00 1.69 0.00 0.00 0.00 μB per formula unit.
The calculated density results, record by record, are as follows: 3.99 4.37 3.94 4.04 4.10 3.72 6.55 5.74 3.08 6.10 5.11 5.16 5.90 5.19 3.71 4.86 5.10 4.82 4.97 6.18 Mg/m³.